# 1
The following is a PBE-GGA calculation of an optimized crystal structure of NdErSe2, from Alexandria via LeMat-Bulk.

abc: 3.9957 3.9957 21.9339
angles: 90.00 90.00 120.00
Space group R3m (No. 160, hexagonal axes)
Inequivalent atoms, fractional coordinates:
Nd 0.0000 0.0000 0.0000
Er 0.0000 0.0000 0.1765
Se 0.0000 0.0000 0.4252
Se 0.0000 0.0000 0.5845

Calculated values
ΔE_f (raw)   -1.74 eV per atom
Energy above the lowest structure with this stoichiometry   0.16 eV/f.u.

# 2
The following is a PBE-GGA calculation of an optimized crystal structure of PtS2I2, from Alexandria via LeMat-Bulk.

abc: 7.652 7.652 6.210
angles: 90.00 90.00 90.00
Space group I4/mmm (No. 139)
Inequivalent atoms, fractional coordinates:
Pt 0.000 0.000 0.000
S 0.000 0.000 0.345
I 0.000 0.500 0.250

Calculated values
ΔE_f (raw)   0.55 eV per atom
Energy above the lowest structure with this stoichiometry   2.34 eV/f.u.

# 3
The following is a PBE-GGA calculation of an optimized crystal structure of LiSn2Pt, from Alexandria via LeMat-Bulk.

abc: 8.820 8.820 5.008
angles: 90.00 90.00 90.00
Space group I-42d (No. 122)
Inequivalent atoms, fractional coordinates:
Li 0.000 0.000 0.000
Sn 0.154 0.250 0.625
Pt 0.000 0.000 0.500

Calculated values
Final energy   -17.27 eV per formula unit

# 4
The following is a PBE-GGA calculation of an optimized crystal structure of ScAlRh2, from Alexandria via LeMat-Bulk.

abc: 3.0233 3.0233 25.5966
angles: 90.00 90.00 120.00
Space group R3m (No. 160, hexagonal axes)
Inequivalent atoms, fractional coordinates:
Sc 0.0000 0.0000 0.0000
Al 0.0000 0.0000 0.2320
Rh 0.0000 0.0000 0.4972
Rh 0.0000 0.0000 0.7403

Calculated values
Final energy   -26.03 eV per formula unit

# 5
The following is a PBE-GGA calculation of an optimized crystal structure of SmDy3Hg2, from Alexandria via LeMat-Bulk.

abc: 5.119 9.281 7.143
angles: 90.00 90.00 90.00
Space group Pmc2_1 (No. 26)
Inequivalent atoms, fractional coordinates:
Sm 0.000 0.057 0.000
Dy 0.000 0.327 0.653
Dy 0.500 0.177 0.317
Dy 0.500 0.443 0.969
Hg 0.000 0.353 0.225
Hg 0.500 0.150 0.744

Calculated values
Energy above the lowest structure with this stoichiometry   0.00 eV/f.u.

# 6
The following is a PBE-GGA calculation of an optimized crystal structure of Ag2Ge2P, from Alexandria via LeMat-Bulk.

abc: 8.060 8.060 2.915
angles: 90.00 90.00 90.00
Space group P4/mbm (No. 127)
Inequivalent atoms, fractional coordinates:
Ag 0.120 0.380 0.000
Ge 0.183 0.683 0.500
P 0.000 0.000 0.500

Calculated values
Final energy   -18.24 eV per formula unit